Compound: NpTl3Br6F2
Source: Alexandria
Functional: GGA-PBE
Structure: relaxed

Summary:
V, Å³ per atom: 38.42
Uncorrected formation energy, eV/atom: -1.241
Magnetization, μB per formula unit: 1.95
Theoretical density, Mg/m³: 4.9
Electronic total energy, Ry/atom: -0.2984

Cell: 7.265 8.300 9.575 Å, 115.69 114.69 90.00°
Fractional coordinates of all 12 atoms:
Br: 0.739 0.917 0.834
Np: 0.500 0.000 0.000
F: 0.307 0.657 0.313
Br: 0.743 0.340 0.222
Br: 0.257 0.119 0.778
F: 0.693 0.343 0.687
Br: 0.261 0.083 0.166
Br: 0.257 0.660 0.778
Tl: 0.500 0.500 0.500
Tl: 0.000 0.500 0.000
Br: 0.743 0.881 0.222
Tl: 0.500 0.000 0.500

=====

Compound: BrOF3
Source: Alexandria
Functional: GGA-PBE
Structure: relaxed

Summary:
V, Å³ per atom: 18.07
Uncorrected formation energy, eV/atom: -0.694
Magnetization, μB per formula unit: 0.00
Theoretical density, Mg/m³: 2.8
Electronic total energy, Ry/atom: -0.2310

Cell: 5.914 5.914 10.331 Å, 90.00 90.00 90.00°
Fractional coordinates of all 20 atoms:
Br: 0.928 0.396 0.251
F: 0.283 0.428 0.842
Br: 0.396 0.072 0.001
F: 0.717 0.572 0.342
O: 0.143 0.443 0.340
F: 0.191 0.917 0.877
F: 0.428 0.717 0.592
O: 0.443 0.857 0.090
F: 0.619 0.051 0.882
Br: 0.604 0.928 0.501
F: 0.949 0.619 0.132
F: 0.051 0.381 0.632
Br: 0.072 0.604 0.751
F: 0.917 0.809 0.627
F: 0.572 0.283 0.092
O: 0.857 0.557 0.840
F: 0.083 0.191 0.127
F: 0.809 0.083 0.377
O: 0.557 0.143 0.590
F: 0.381 0.949 0.382

=====

Compound: BrO8F6
Source: Alexandria
Functional: GGA-PBE
Structure: relaxed

Summary:
V, Å³ per atom: 16.01
Uncorrected formation energy, eV/atom: -0.054
Magnetization, μB per formula unit: 2.10
Theoretical density, Mg/m³: 2.2
Electronic total energy, Ry/atom: -0.2615

Cell: 6.966 6.966 6.966 Å, 60.22 60.22 60.22°
Fractional coordinates of all 15 atoms:
F: 0.187 0.196 0.809
O: 0.116 0.321 0.326
F: 0.804 0.191 0.813
F: 0.809 0.187 0.196
O: 0.465 0.465 0.465
O: 0.535 0.535 0.535
O: 0.674 0.884 0.679
F: 0.196 0.809 0.187
F: 0.191 0.813 0.804
O: 0.326 0.116 0.321
F: 0.813 0.804 0.191
Br: 0.000 0.000 0.000
O: 0.679 0.674 0.884
O: 0.321 0.326 0.116
O: 0.884 0.679 0.674

=====

Compound: BrO2F6
Source: Alexandria
Functional: GGA-PBE
Structure: relaxed

Summary:
V, Å³ per atom: 14.91
Uncorrected formation energy, eV/atom: -0.109
Magnetization, μB per formula unit: 5.04
Theoretical density, Mg/m³: 2.8
Electronic total energy, Ry/atom: -0.1944

Cell: 7.553 7.553 4.845 Å, 80.82 80.82 83.87°
Fractional coordinates of all 18 atoms:
F: 0.459 0.701 0.514
F: 0.876 0.377 0.444
F: 0.024 0.798 0.009
F: 0.701 0.459 0.014
F: 0.976 0.202 0.991
Br: 0.248 0.752 0.750
F: 0.623 0.124 0.056
F: 0.124 0.623 0.556
O: 0.753 0.774 0.017
F: 0.299 0.541 0.986
F: 0.541 0.299 0.486
Br: 0.752 0.248 0.250
O: 0.774 0.753 0.517
F: 0.202 0.976 0.491
F: 0.798 0.024 0.509
O: 0.226 0.247 0.483
F: 0.377 0.876 0.944
O: 0.247 0.226 0.983

=====

Compound: BrO4F
Source: Alexandria
Functional: GGA-PBE
Structure: relaxed

Summary:
V, Å³ per atom: 17.69
Uncorrected formation energy, eV/atom: 0.349
Magnetization, μB per formula unit: 2.79
Theoretical density, Mg/m³: 2.5
Electronic total energy, Ry/atom: -0.2607

Cell: 4.481 7.498 7.049 Å, 64.85 94.40 85.75°
Fractional coordinates of all 12 atoms:
F: 0.305 0.896 0.693
Br: 0.672 0.358 0.302
F: 0.695 0.104 0.307
O: 0.715 0.277 0.562
O: 0.904 0.954 0.983
O: 0.096 0.046 0.017
Br: 0.328 0.642 0.698
O: 0.285 0.723 0.438
O: 0.442 0.363 0.772
O: 0.300 0.408 0.199
O: 0.700 0.592 0.801
O: 0.558 0.637 0.228

=====

Compound: Br2OF8
Source: Alexandria
Functional: GGA-PBE
Structure: relaxed

Summary:
V, Å³ per atom: 19.71
Uncorrected formation energy, eV/atom: -0.732
Magnetization, μB per formula unit: 0.10
Theoretical density, Mg/m³: 2.5
Electronic total energy, Ry/atom: -0.2093

Cell: 4.860 7.868 7.868 Å, 48.60 75.34 75.34°
Fractional coordinates of all 11 atoms:
F: 0.873 0.392 0.831
F: 0.132 0.750 0.750
F: 0.808 0.914 0.914
F: 0.123 0.170 0.170
F: 0.160 0.591 0.151
F: 0.606 0.227 0.227
O: 0.205 0.997 0.997
Br: 0.860 0.107 0.107
Br: 0.200 0.869 0.869
F: 0.160 0.151 0.591
F: 0.873 0.831 0.392

=====

Compound: Br2O4F3
Source: Alexandria
Functional: GGA-PBE
Structure: relaxed

Summary:
V, Å³ per atom: 19.15
Uncorrected formation energy, eV/atom: -0.119
Magnetization, μB per formula unit: 0.00
Theoretical density, Mg/m³: 2.7
Electronic total energy, Ry/atom: -0.2439

Cell: 3.681 11.530 9.498 Å, 151.92 78.72 89.90°
Fractional coordinates of all 9 atoms:
O: 0.554 0.853 0.088
F: 0.331 0.796 0.370
F: 0.000 0.000 0.000
O: 0.446 0.147 0.912
Br: 0.679 0.111 0.343
Br: 0.321 0.889 0.657
F: 0.669 0.204 0.630
O: 0.695 0.632 0.414
O: 0.305 0.368 0.586

=====

Compound: BrO2F2
Source: Alexandria
Functional: GGA-PBE
Structure: relaxed

Summary:
V, Å³ per atom: 11.66
Uncorrected formation energy, eV/atom: 0.917
Magnetization, μB per formula unit: 1.29
ΔE to the lowest computed polymorph, kJ/mol of atoms: 126.60
Theoretical density, Mg/m³: 4.3
Electronic total energy, Ry/atom: -0.1580

Cell: 3.975 3.975 3.691 Å, 90.00 90.00 90.00°
Fractional coordinates of all 5 atoms:
F: 0.000 0.500 0.000
Br: 0.500 0.500 0.500
O: 0.000 0.000 0.000
F: 0.500 0.000 0.000
O: 0.000 0.000 0.500

=====

Compound: BrO2F2
Source: Alexandria
Functional: GGA-PBE
Structure: relaxed

Summary:
V, Å³ per atom: 23.34
Uncorrected formation energy, eV/atom: -0.395
Magnetization, μB per formula unit: 1.90
ΔE to the lowest computed polymorph, kJ/mol of atoms: 0.00
Theoretical density, Mg/m³: 2.1
Electronic total energy, Ry/atom: -0.2544

Cell: 7.456 5.663 7.344 Å, 89.53 90.00 131.18°
Fractional coordinates of all 10 atoms:
F: 0.163 0.311 0.561
F: 0.852 0.689 0.939
O: 0.458 0.900 0.810
F: 0.837 0.689 0.439
Br: 0.007 0.000 0.750
O: 0.542 0.100 0.190
O: 0.557 0.100 0.690
O: 0.443 0.900 0.310
Br: 0.993 0.000 0.250
F: 0.148 0.311 0.061

=====

Compound: BrO2F2
Source: Alexandria
Functional: GGA-PBE
Structure: relaxed

Summary:
V, Å³ per atom: 14.42
Uncorrected formation energy, eV/atom: 0.488
Magnetization, μB per formula unit: 2.00
ΔE to the lowest computed polymorph, kJ/mol of atoms: 85.20
Theoretical density, Mg/m³: 3.5
Electronic total energy, Ry/atom: -0.1895

Cell: 4.408 4.408 3.712 Å, 90.00 90.00 90.00°
Fractional coordinates of all 5 atoms:
Br: 0.000 0.000 0.000
F: 0.000 0.500 0.000
O: 0.000 0.000 0.500
O: 0.500 0.500 0.500
F: 0.500 0.000 0.000

=====

Compound: BrO2F8
Source: Alexandria
Functional: GGA-PBE
Structure: relaxed

Summary:
V, Å³ per atom: 15.67
Uncorrected formation energy, eV/atom: -0.402
Magnetization, μB per formula unit: 2.99
Theoretical density, Mg/m³: 2.5
Electronic total energy, Ry/atom: -0.2070

Cell: 5.555 6.235 5.907 Å, 57.97 94.57 96.11°
Fractional coordinates of all 11 atoms:
O: 0.479 0.631 0.779
F: 0.811 0.081 0.693
F: 0.663 0.599 0.669
Br: 0.000 0.000 0.000
F: 0.858 0.664 0.170
O: 0.521 0.369 0.221
F: 0.337 0.401 0.331
F: 0.756 0.089 0.128
F: 0.142 0.336 0.830
F: 0.189 0.919 0.307
F: 0.244 0.911 0.872

=====

Compound: BrO2F2
Source: Alexandria
Functional: GGA-PBE
Structure: relaxed

Summary:
V, Å³ per atom: 12.33
Uncorrected formation energy, eV/atom: 0.489
Magnetization, μB per formula unit: 0.95
ΔE to the lowest computed polymorph, kJ/mol of atoms: 85.33
Theoretical density, Mg/m³: 4.0
Electronic total energy, Ry/atom: -0.1894

Cell: 3.811 3.811 4.244 Å, 90.00 90.00 90.00°
Fractional coordinates of all 5 atoms:
O: 0.500 0.000 0.000
F: 0.000 0.000 0.500
F: 0.500 0.500 0.500
O: 0.000 0.500 0.000
Br: 0.000 0.000 0.000